# 1
Computed, not measured: a relaxed AcBiAu3 crystal at the PBE-GGA level of DFT.

Structure (POSCAR):
```
AcBiAu3
1.0
-5.354 -3.815 1.438
0.311 -3.494 -8.114
5.224 -5.604 4.580
Au Ac Bi
12 4 4
direct
0.993 0.330 0.137
0.087 0.172 0.367
0.007 0.670 0.863
0.587 0.828 0.133
0.705 0.513 0.021
0.795 0.513 0.521
0.205 0.487 0.479
0.507 0.330 0.637
0.493 0.670 0.363
0.413 0.172 0.867
0.913 0.828 0.633
0.295 0.487 0.979
0.029 0.700 0.250
0.971 0.300 0.750
0.471 0.700 0.750
0.529 0.300 0.250
0.781 0.007 0.944
0.719 0.007 0.444
0.219 0.993 0.056
0.281 0.993 0.556
```

Values from the calculation:
* polymorph energy (0 for the lowest one): 0.016 eV per atom
* ΔH_f (0 K): -2.60 eV/f.u.

# 2
Computed, not measured: a relaxed PrNdSO2 crystal at the PBE-GGA level of DFT.

Structure (POSCAR):
```
PrNdSO2
1.0
-2.340 -3.107 0.569
3.035 -2.408 -0.665
1.042 2.826 6.136
Nd Pr O S
1 1 2 1
direct
0.151 0.151 0.302
0.850 0.850 0.701
0.249 0.749 0.498
0.749 0.249 0.498
0.500 0.500 0.000
```

Values from the calculation:
* energy relative to the elements, uncorrected: -2.9355 eV/atom

# 3
Computed, not measured: a relaxed GaMoAu3 crystal at the PBE-GGA level of DFT.

Structure (POSCAR):
```
GaMoAu3
1.0
-2.950 0.938 4.058
3.974 -0.852 3.087
1.244 4.944 -0.238
Mo Au Ga
1 3 1
direct
0.000 0.000 0.000
0.000 0.000 0.500
0.500 0.000 0.000
0.000 0.500 0.000
0.500 0.500 0.500
```

Values from the calculation:
* polymorph energy (0 for the lowest one): 0.116 eV per atom
* ΔH_f (0 K): 4.88 eV/f.u.

# 4
Computed, not measured: a relaxed YPt4Au2 crystal at the PBE-GGA level of DFT.

Structure (POSCAR):
```
YPt4Au2
1.0
5.055 0.000 0.000
0.000 5.055 0.000
2.527 2.527 6.640
Au Pt Y
2 4 1
direct
0.602 0.602 0.796
0.398 0.398 0.204
0.201 0.201 0.598
0.500 0.000 0.000
0.000 0.500 0.000
0.799 0.799 0.402
0.000 0.000 0.000
```

Values from the calculation:
* ΔH_f (0 K): 5.19 eV/f.u.

no.,size of the total moment (μB per formula unit)
1,0.00
2,0.00
3,0.00
4,0.00